[1]
Entry from Alexandria via LeMat-Bulk: a relaxed PmTh2Ga crystal (PBE).

Summary:
As for the formation enthalpy at 0 K: -0.115 eV per atom. The total energy is -5.77 eV per atom. The energy relative to the lowest polymorph listed for this composition is 57.6 meV per atom. For the density, the calculation gives 9.63 g/cm3. Its size of the total moment is 0.00 μB per formula unit. Its space group is P4/mmm.

Cell lengths 3.9471, 3.9471, 7.5138 Å; angles 90.00, 90.00, 90.00 degrees
Element x y z (fractional)
Ga 0.5000 0.5000 0.0000
Th 0.0000 0.0000 0.7956
Th 0.0000 0.0000 0.2044
Pm 0.5000 0.5000 0.5000

[2]
Entry from Alexandria via LeMat-Bulk: a relaxed Y2CO crystal (PBE).

Summary:
The value obtained for the formation energy from raw total energies is -1725.0 meV/atom. The total energy is -8.50 eV per atom. The energy relative to the lowest polymorph listed for this composition is 0.0 meV per atom. For the density, the calculation gives 5.52 g/cm3. Its size of the total moment is 0.00 μB per formula unit. Its space group is C2/c.

Cell lengths 6.1144, 6.1222, 7.8657 Å; angles 104.92, 104.88, 109.82 degrees
Element x y z (fractional)
Y 0.1794 0.4371 0.3746
Y 0.5661 0.3084 0.1245
Y 0.0583 0.8161 0.1245
Y 0.3048 0.0625 0.6254
Y 0.6952 0.9375 0.3746
Y 0.9417 0.1839 0.8755
Y 0.4339 0.6916 0.8755
Y 0.8206 0.5629 0.6254
C 0.1884 0.9384 0.8767
C 0.9364 0.6864 0.3728
C 0.0636 0.3136 0.6272
C 0.8116 0.0616 0.1233
O 0.5618 0.8118 0.6236
O 0.6870 0.4369 0.8739
O 0.3130 0.5631 0.1261
O 0.4382 0.1882 0.3764

[3]
Entry from Alexandria via LeMat-Bulk: a relaxed FeCu2Se crystal (PBE).

Summary:
The value obtained for the formation energy from raw total energies is 256.1 meV/atom. The total energy is -4.78 eV per atom. For the density, the calculation gives 7.60 g/cm3. Its size of the total moment is 2.09 μB per formula unit. Its space group is R3m.

Cell lengths 8.0276, 8.0276, 8.0276 Å; angles 20.82, 20.82, 20.82 degrees
Each line ends with the local moment (μB).
Element x y z (fractional)
Cu 0.9937 0.9937 0.9937  -0.01
Cu 0.2475 0.2475 0.2475  0.04
Fe 0.4986 0.4986 0.4986  2.18
Se 0.7602 0.7602 0.7602  -0.07

Q: What is the size of the total moment in the first record?
A: 0.00 μB per formula unit

Q: The highest size of the total moment belongs to which entry?
A: FeCu2Se